[1]
Here is a geometry-optimized Li2MgPd4 structure from Alexandria. Energies are from PBE.

Its density of states at the Fermi level is 0.402 states/eV/atom. Its volume is 108.4 Å³ per cell. The uncorrected energy is -4.04 eV per atom. For the calculated density, the calculation gives 7108 kg/m³. For the size of the total moment, the calculation gives 0.00 μB per cell. The calculation puts the formation energy at -2.1 eV/f.u. For the polymorph energy (0 for the lowest one), the calculation gives 53 meV per atom.

abc: 5.204 5.204 5.204
angles: 108.49 108.49 111.44
Positions (direct):
1 Li 0.000 0.500 0.500
2 Li 0.500 0.000 0.500
3 Mg 0.000 0.000 0.000
4 Pd 0.000 0.000 0.500
5 Pd 0.000 0.500 0.000
6 Pd 0.500 0.000 0.000
7 Pd 0.500 0.500 0.500

---

[2]
Here is a geometry-optimized Pm4MgGa12 structure from Alexandria. Energies are from PBE.

Its density of states at the Fermi level is 0.321 states/eV/atom. Its volume is 349.7 Å³ per cell. The uncorrected energy is -3.88 eV per atom. For the calculated density, the calculation gives 6842 kg/m³. For the size of the total moment, the calculation gives 0.00 μB per cell. The calculation puts the formation energy at -9.1 eV/f.u.

abc: 7.687 7.687 7.687
angles: 109.47 109.47 109.47
Positions (direct):
1 Pm 0.000 0.000 0.500
2 Pm 0.000 0.500 0.000
3 Pm 0.500 0.000 0.000
4 Pm 0.500 0.500 0.500
5 Mg 0.000 0.000 0.000
6 Ga 0.000 0.313 0.313
7 Ga 0.000 0.687 0.687
8 Ga 0.250 0.500 0.750
9 Ga 0.250 0.750 0.500
10 Ga 0.313 0.000 0.313
11 Ga 0.313 0.313 0.000
12 Ga 0.500 0.250 0.750
13 Ga 0.500 0.750 0.250
14 Ga 0.687 0.000 0.687
15 Ga 0.687 0.687 0.000
16 Ga 0.750 0.250 0.500
17 Ga 0.750 0.500 0.250

---

[3]
Here is a geometry-optimized HfBeB2 structure from Alexandria. Energies are from PBE.

Its density of states at the Fermi level is 0.199 states/eV/atom. Its volume is 83.9 Å³ per cell. The uncorrected energy is -6.89 eV per atom. For the calculated density, the calculation gives 8282 kg/m³. For the size of the total moment, the calculation gives 0.00 μB per cell. The calculation puts the formation energy at -0.5 eV/f.u.

abc: 6.796 6.796 6.796
angles: 148.83 148.83 44.67
Positions (direct):
1 Hf 0.375 0.625 0.750
2 Hf 0.625 0.375 0.250
3 Be 0.125 0.875 0.250
4 Be 0.875 0.125 0.750
5 B 0.000 0.000 0.000
6 B 0.000 0.000 0.500
7 B 0.000 0.500 0.000
8 B 0.500 0.000 0.500

---

[4]
Here is a geometry-optimized NaSrIO2 structure from Alexandria. Energies are from PBE.

Its density of states at the Fermi level is 0.956 states/eV/atom. Its volume is 118.9 Å³ per cell. The uncorrected energy is -3.57 eV per atom. For the calculated density, the calculation gives 3765 kg/m³. For the size of the total moment, the calculation gives 2.00 μB per cell. For the polymorph energy (0 for the lowest one), the calculation gives 314 meV per atom.

abc: 4.616 4.616 5.579
angles: 90.00 90.00 90.00
Positions (direct):
1 Na 0.000 0.000 0.000
2 Sr 0.500 0.500 0.500
3 I 0.000 0.000 0.500
4 O 0.000 0.500 0.000
5 O 0.500 0.000 0.000

---

[5]
Here is a geometry-optimized CaLa9Tb2 structure from Alexandria. Energies are from PBE.

Its density of states at the Fermi level is 1.425 states/eV/atom. Its volume is 434.6 Å³ per cell. The uncorrected energy is -4.61 eV per atom. For the calculated density, the calculation gives 6144 kg/m³. For the size of the total moment, the calculation gives 0.00 μB per cell. The calculation puts the formation energy at 0.3 eV/f.u.

abc: 5.249 5.249 15.771
angles: 90.00 90.00 90.00
Positions (direct):
1 Ca 0.000 0.000 0.000
2 La 0.000 0.500 0.172
3 La 0.000 0.500 0.500
4 La 0.000 0.500 0.828
5 La 0.500 0.000 0.172
6 La 0.500 0.000 0.500
7 La 0.500 0.000 0.828
8 La 0.500 0.500 0.000
9 La 0.500 0.500 0.335
10 La 0.500 0.500 0.665
11 Tb 0.000 0.000 0.334
12 Tb 0.000 0.000 0.666

---

[6]
Here is a geometry-optimized Cs2LiP2S6 structure from Alexandria. Energies are from PBE.

Its density of states at the Fermi level is 0.335 states/eV/atom. Its volume is 327.0 Å³ per cell. The uncorrected energy is -4.27 eV per atom. For the calculated density, the calculation gives 2677 kg/m³. For the size of the total moment, the calculation gives 0.00 μB per cell.

abc: 7.512 7.512 7.408
angles: 105.38 105.38 55.06
Positions (direct):
1 Cs 0.206 0.206 0.187
2 Cs 0.794 0.794 0.813
3 Li 0.000 0.000 0.500
4 P 0.472 0.472 0.800
5 P 0.528 0.528 0.200
6 S 0.209 0.701 0.230
7 S 0.299 0.791 0.770
8 S 0.316 0.316 0.721
9 S 0.684 0.684 0.279
10 S 0.701 0.209 0.230
11 S 0.791 0.299 0.770

---

[7]
Here is a geometry-optimized HPtSe2Br structure from Alexandria. Energies are from PBE.

Its density of states at the Fermi level is 1.326 states/eV/atom. Its volume is 111.7 Å³ per cell. The uncorrected energy is -2.95 eV per atom. For the calculated density, the calculation gives 6449 kg/m³. For the size of the total moment, the calculation gives 0.01 μB per cell. For the polymorph energy (0 for the lowest one), the calculation gives 0 meV per atom.

abc: 3.813 3.813 7.687
angles: 90.00 90.00 90.00
Positions (direct):
1 H 0.000 0.000 0.000
2 Pt 0.500 0.500 0.500
3 Se 0.000 0.500 0.000
4 Se 0.500 0.000 0.000
5 Br 0.000 0.000 0.500

---

[8]
Here is a geometry-optimized BeZnCu2Br structure from Alexandria. Energies are from PBE.

Its density of states at the Fermi level is 0.878 states/eV/atom. Its volume is 98.4 Å³ per cell. The uncorrected energy is -1.85 eV per atom. For the calculated density, the calculation gives 4748 kg/m³. For the size of the total moment, the calculation gives 0.00 μB per cell.

abc: 4.729 4.729 4.401
angles: 90.00 90.00 90.00
Positions (direct):
1 Be 0.000 0.000 0.000
2 Zn 0.500 0.500 0.000
3 Cu 0.000 0.500 0.500
4 Cu 0.500 0.000 0.500
5 Br 0.000 0.000 0.500

---

Question: uncorrected energy of number 1 (Li2MgPd4)?
Answer: -4.04 eV per atom